# 1
Entry from the Alexandria database: an optimized crystal structure of CaAcZn2 (PBE).

Cell lengths 7.6239, 7.6239, 7.6239 Å; angles 90.00, 90.00, 90.00 degrees
Last column: nearest neighbours and their distance in Å.
Space group Fm-3m (No. 225)
One atom of each set of equivalent atoms:
Ca1 0.0000 0.0000 0.0000 x4  8 Zn 3.30
Ac1 0.0000 0.0000 0.5000 x4  8 Zn 3.30
Zn1 0.2500 0.2500 0.2500 x8  4 Ac 3.30, 4 Ca 3.30

ΔH_f (0 K): -0.269 eV per atom
calculated volume: 111 Å³/f.u.
crystal system: cubic

---

# 2
Entry from the Alexandria database: an optimized crystal structure of HfRu3N (PBE).

Cell lengths 4.0876, 4.0876, 4.0876 Å; angles 90.00, 90.00, 90.00 degrees
Last column: nearest neighbours and their distance in Å.
Space group Pm-3m (No. 221)
One atom of each set of equivalent atoms:
Hf1 0.0000 0.0000 0.0000 x1  12 Ru 2.89
Ru1 0.0000 0.5000 0.5000 x3  2 N 2.04
N1 0.5000 0.5000 0.5000 x1  6 Ru 2.04

formation energy from raw total energies: -1.3 eV/f.u.
calculated volume: 68 Å³/f.u.
crystal system: cubic

---

# 3
Entry from the Alexandria database: an optimized crystal structure of Y2Mo (PBE).

Cell lengths 5.2288, 3.6405, 16.4177 Å; angles 90.00, 90.00, 90.00 degrees
Last column: nearest neighbours and their distance in Å.
Space group Amm2 (No. 38)
One atom of each set of equivalent atoms:
Y1 0.0000 0.0000 0.0000 x2  8 Y 3.24-3.45
Y2 0.0000 0.0000 0.3218 x2  6 Y 3.17-3.45, 6 Mo 3.23-3.44
Y3 0.0000 0.0000 0.6635 x2  4 Y 3.17-3.24, 6 Mo 3.21-3.34
Y4 0.5000 0.0000 0.4591 x2  8 Y 3.26-3.64, 2 Mo 3.33
Mo1 0.5000 0.0000 0.1855 x2  2 Mo 2.50
Mo2 0.5000 0.0000 0.7896 x2  2 Mo 2.50

ΔH_f (0 K): 0.323 eV per atom
calculated volume: 78 Å³/f.u.
crystal system: orthorhombic

---

# 4
Entry from the Alexandria database: an optimized crystal structure of InTe2As (PBE).

Cell lengths 4.1508, 4.8101, 11.8277 Å; angles 90.00, 90.00, 90.00 degrees
Last column: nearest neighbours and their distance in Å.
Space group Immm (No. 71)
One atom of each set of equivalent atoms:
In1 0.0000 0.0000 0.0000 x2  4 Te 3.16, 4 As 3.18
Te1 0.0000 0.5000 0.1739 x4  2 As 2.92, 2 In 3.16
As1 0.0000 0.0000 0.5000 x2  4 Te 2.92, 4 In 3.18

formation energy from raw total energies: 0.3 eV/f.u.
calculated volume: 118 Å³/f.u.
crystal system: orthorhombic

---

# 5
Entry from the Alexandria database: an optimized crystal structure of CoPb (PBE).

Cell lengths 3.2495, 5.2159, 4.3912 Å; angles 90.00, 90.00, 90.00 degrees
Last column: nearest neighbours and their distance in Å.
Space group Pmmn (No. 59, origin choice 2)
One atom of each set of equivalent atoms:
Co1 0.2500 0.2500 0.1347 x2  6 Pb 2.68-2.78
Pb1 0.2500 0.7500 0.3504 x2  6 Co 2.68-2.78

ΔH_f (0 K): 0.622 eV per atom
calculated volume: 37 Å³/f.u.
crystal system: orthorhombic

---

# 6
Entry from the Alexandria database: an optimized crystal structure of Er2PI3 (PBE).

Cell lengths 21.4064, 4.2581, 14.4710 Å; angles 90.00, 131.97, 90.00 degrees
Last column: nearest neighbours and their distance in Å.
Space group C2/m (No. 12)
One atom of each set of equivalent atoms:
Er1 0.0841 0.0000 0.4778 x4  2 P 2.69-2.72
Er2 0.1342 0.5000 0.8104 x4  2 P 2.67
P1 0.0852 0.0000 0.6649 x4  4 Er 2.67-2.72
I1 0.0407 0.5000 0.2748 x4  3 Er 3.06-3.22
I2 0.1722 0.0000 0.0122 x4  3 Er 3.09-3.25
I3 0.2221 0.5000 0.6225 x4  2 Er 3.06

formation energy from raw total energies: -7.8 eV/f.u.
calculated volume: 245 Å³/f.u.
crystal system: monoclinic

---

Which formula does entry 6 have?
Er2PI3

---

The lowest calculated volume belongs to which entry?
CoPb

---

What is the calculated volume in the sixth record?
245 Å³/f.u.

---

Which formula does entry 1 have?
CaAcZn2